Compound: BiBPt3
Source: the Alexandria database
Functional: PBE
Structure: relaxed

Cell: 6.5104 6.5104 8.0866 Å, 105.46 105.46 31.44°
With the nearest neighbours (Å) after each atom.
Element x y z (fractional)
Bi 0.1412 0.1412 0.0585  6 Pt 2.92-3.00
Bi 0.8588 0.8588 0.9415  6 Pt 2.92-3.00
B 0.3718 0.3718 0.4914  4 Pt 2.09-2.17
B 0.6282 0.6282 0.5086  4 Pt 2.09-2.17
Pt 0.0569 0.0569 0.3646  2 B 2.17
Pt 0.2550 0.2550 0.6407  1 B 2.14
Pt 0.3808 0.3808 0.2367  1 B 2.09
Pt 0.6192 0.6192 0.7633  1 B 2.09
Pt 0.7450 0.7450 0.3593  1 B 2.14
Pt 0.9431 0.9431 0.6354  2 B 2.17

Summary:
Energy relative to the lowest polymorph listed for this composition (eV/atom): 0.082
Energy relative to the elements (kJ/mol of formula units): -66
Size of the total moment (μB/f.u.): 0.00